Record 1
Here is an optimized crystal structure of AcDy2YS6 from the Alexandria database. Energies are from PBE.

## Properties
V = 269.8 Å³/cell
Symmetry = No. 146

Cell lengths 7.435, 7.435, 7.435 Å; angles 56.89, 56.89, 56.89 degrees
Atoms (fractional coordinates):
Ac1 0.000 0.000 0.000
Dy1 0.282 0.282 0.282
Dy2 0.789 0.789 0.789
Y1 0.486 0.486 0.486
S1 0.076 0.646 0.429
S2 0.186 0.573 0.890
S3 0.429 0.076 0.646
S4 0.573 0.890 0.186
S5 0.646 0.429 0.076
S6 0.890 0.186 0.573


Record 2
Here is an optimized crystal structure of PmIn5Pd3 from the Alexandria database. Energies are from PBE.

## Properties
V = 404.5 Å³/cell
Symmetry = No. 63
E_form = -381 meV per atom

Cell lengths 7.593, 7.593, 14.722 Å; angles 90.00, 90.00, 151.54 degrees
Atoms (fractional coordinates):
Pm1 0.159 0.841 0.750
Pm2 0.841 0.159 0.250
In1 0.000 0.000 0.000
In2 0.000 0.000 0.500
In3 0.199 0.801 0.067
In4 0.199 0.801 0.433
In5 0.452 0.548 0.655
In6 0.452 0.548 0.845
In7 0.548 0.452 0.155
In8 0.548 0.452 0.345
In9 0.801 0.199 0.567
In10 0.801 0.199 0.933
Pd1 0.161 0.839 0.250
Pd2 0.381 0.619 0.074
Pd3 0.381 0.619 0.426
Pd4 0.619 0.381 0.574
Pd5 0.619 0.381 0.926
Pd6 0.839 0.161 0.750


Record 3
Here is an optimized crystal structure of Ta4MnNb from the Alexandria database. Energies are from PBE.

## Properties
V = 235.0 Å³/cell
Energy above the most stable polymorph in this dataset = 4.08 eV per formula unit
Symmetry = No. 12
E_form = 622 meV per atom

Cell lengths 7.587, 4.370, 7.526 Å; angles 90.00, 109.67, 90.00 degrees
Atoms (fractional coordinates):
Ta1 0.117 0.000 0.350
Ta2 0.130 0.500 0.890
Ta3 0.370 0.000 0.110
Ta4 0.383 0.500 0.650
Ta5 0.617 0.500 0.350
Ta6 0.630 0.000 0.890
Ta7 0.870 0.500 0.110
Ta8 0.883 0.000 0.650
Mn1 0.000 0.000 0.000
Mn2 0.500 0.500 0.000
Nb1 0.000 0.500 0.500
Nb2 0.500 0.000 0.500


Record 4
Here is an optimized crystal structure of Ac3Zn4Au4 from the Alexandria database. Energies are from PBE.

## Properties
V = 267.9 Å³/cell
Symmetry = No. 2
E_form = -623 meV per atom

Cell lengths 4.184, 4.554, 14.392 Å; angles 98.97, 98.33, 90.11 degrees
Atoms (fractional coordinates):
Ac1 0.000 0.000 0.000
Ac2 0.149 0.649 0.299
Ac3 0.851 0.351 0.701
Zn1 0.251 0.254 0.505
Zn2 0.402 0.902 0.803
Zn3 0.598 0.098 0.197
Zn4 0.749 0.746 0.495
Au1 0.308 0.808 0.613
Au2 0.448 0.448 0.897
Au3 0.552 0.552 0.103
Au4 0.692 0.192 0.387


VASP energy for the records above, in order: -6.531; -4.161; -10.487; -3.399 eV per atom
Total moment for the records above, in order: 0.00; 0.00; 0.00; 0.00 Bohr magnetons per cell